# 1
A plane-wave DFT calculation with PBE-GGA was carried out for Cs2MgZn after structural relaxation.

Lattice parameters (Å, degrees): 6.7050 6.7050 6.7050 60.00 60.00 60.00
Atoms (fractional coordinates):
1 Cs 0.2500 0.2500 0.2500
2 Cs 0.7500 0.7500 0.7500
3 Zn 0.5000 0.5000 0.5000
4 Mg 0.0000 0.0000 0.0000

Summary:
The energy above the most stable polymorph in this dataset is 0 meV per atom. The value obtained for the density of states at the Fermi level is 4.99 states/eV per cell. The calculation puts the magnetic moment at 0.2330 μB per atom.



# 2
A plane-wave DFT calculation with PBE-GGA was carried out for CsMgZn2 after structural relaxation.

Lattice parameters (Å, degrees): 5.6197 5.6197 10.3951 74.32 74.32 90.00
Atoms (fractional coordinates):
1 Cs 0.0000 0.0000 0.0000
2 Cs 0.7500 0.2500 0.5000
3 Zn 0.3753 0.1250 0.2500
4 Zn 0.3747 0.6250 0.2500
5 Zn 0.3750 0.6247 0.7500
6 Zn 0.8750 0.6253 0.7500
7 Mg 0.5000 0.5000 0.0000
8 Mg 0.2500 0.7500 0.5000

Summary:
The value obtained for the density of states at the Fermi level is 2.50 states/eV per cell. The calculation puts the magnetic moment at 0.0000 μB per atom.



# 3
A plane-wave DFT calculation with PBE-GGA was carried out for Cs2MgZn after structural relaxation.

Lattice parameters (Å, degrees): 8.4860 8.4860 8.4860 101.99 101.99 125.76
Atoms (fractional coordinates):
1 Cs 0.9120 0.3750 0.0370
2 Cs 0.3380 0.8750 0.9630
3 Cs 0.1250 0.0880 0.4630
4 Cs 0.6250 0.6620 0.5370
5 Mg 0.5000 0.5000 0.0000
6 Mg 0.7500 0.2500 0.5000
7 Zn 0.0000 0.0000 0.0000
8 Zn 0.2500 0.7500 0.5000

Summary:
The energy above the most stable polymorph in this dataset is 68 meV per atom. The value obtained for the density of states at the Fermi level is 8.06 states/eV per cell. The calculation puts the magnetic moment at 0.0000 μB per atom.



# 4
A plane-wave DFT calculation with PBE-GGA was carried out for CsMg2ZrZn after structural relaxation.

Lattice parameters (Å, degrees): 5.8704 6.5198 5.8704 90.00 90.00 90.00
Atoms (fractional coordinates):
1 Cs 0.0000 0.5000 0.0000
2 Zn 0.5000 0.5000 0.5000
3 Mg 0.0000 0.0000 0.5000
4 Mg 0.5000 0.0000 0.0000
5 Zr 0.0000 0.0000 0.0000

Summary:
The value obtained for the density of states at the Fermi level is 4.38 states/eV per cell. The calculation puts the magnetic moment at 0.8738 μB per atom.



# 5
A plane-wave DFT calculation with PBE-GGA was carried out for CsMg14Zr after structural relaxation.

Lattice parameters (Å, degrees): 6.4358 6.4358 10.3747 90.00 90.00 112.21
Atoms (fractional coordinates):
1 Cs 0.3941 0.6059 0.5000
2 Mg 0.8341 0.1659 0.0000
3 Mg 0.3185 0.6815 0.0000
4 Mg 0.3838 0.1024 0.5000
5 Mg 0.3481 0.1838 0.0000
6 Mg 0.8976 0.6162 0.5000
7 Mg 0.8162 0.6519 0.0000
8 Mg 0.1318 0.3529 0.2329
9 Mg 0.1318 0.3529 0.7671
10 Mg 0.6471 0.8682 0.2329
11 Mg 0.6471 0.8682 0.7671
12 Mg 0.6556 0.3444 0.2550
13 Mg 0.6556 0.3444 0.7450
14 Mg 0.1259 0.8741 0.2467
15 Mg 0.1259 0.8741 0.7533
16 Zr 0.8865 0.1135 0.5000

Summary:
The energy above the most stable polymorph in this dataset is 27 meV per atom. The value obtained for the density of states at the Fermi level is 7.87 states/eV per cell. The calculation puts the magnetic moment at 0.0000 μB per atom.



# 6
A plane-wave DFT calculation with PBE-GGA was carried out for CsMg14Zr after structural relaxation.

Lattice parameters (Å, degrees): 6.6382 6.6382 10.5710 90.00 90.00 120.00
Atoms (fractional coordinates):
1 Cs 0.0000 0.0000 0.5000
2 Mg 0.9957 0.4979 0.0000
3 Mg 0.0103 0.5051 0.5000
4 Mg 0.5021 0.0043 0.0000
5 Mg 0.4949 0.9897 0.5000
6 Mg 0.5021 0.4979 0.0000
7 Mg 0.4949 0.5051 0.5000
8 Mg 0.1708 0.8292 0.2303
9 Mg 0.1708 0.8292 0.7697
10 Mg 0.1708 0.3415 0.2303
11 Mg 0.1708 0.3415 0.7697
12 Mg 0.6585 0.8292 0.2303
13 Mg 0.6585 0.8292 0.7697
14 Mg 0.6667 0.3333 0.2558
15 Mg 0.6667 0.3333 0.7442
16 Zr 0.0000 0.0000 0.0000

Summary:
The energy above the most stable polymorph in this dataset is 0 meV per atom. The value obtained for the density of states at the Fermi level is 9.31 states/eV per cell. The calculation puts the magnetic moment at 0.0000 μB per atom.



# 7
A plane-wave DFT calculation with PBE-GGA was carried out for CsMgZr3 after structural relaxation.

Lattice parameters (Å, degrees): 5.3847 5.3847 5.3847 90.00 90.00 90.00
Atoms (fractional coordinates):
1 Cs 0.5000 0.5000 0.5000
2 Mg 0.0000 0.0000 0.0000
3 Zr 0.0000 0.5000 0.0000
4 Zr 0.0000 0.0000 0.5000
5 Zr 0.5000 0.0000 0.0000

Summary:
The energy above the most stable polymorph in this dataset is 0 meV per atom. The value obtained for the density of states at the Fermi level is 8.53 states/eV per cell. The calculation puts the magnetic moment at 0.0000 μB per atom.



# 8
A plane-wave DFT calculation with PBE-GGA was carried out for CsMgZr3 after structural relaxation.

Lattice parameters (Å, degrees): 5.2847 5.2847 5.2847 90.00 90.00 90.00
Atoms (fractional coordinates):
1 Cs 0.0000 0.0000 0.0000
2 Mg 0.5000 0.5000 0.5000
3 Zr 0.0000 0.5000 0.0000
4 Zr 0.0000 0.0000 0.5000
5 Zr 0.5000 0.0000 0.0000

Summary:
The energy above the most stable polymorph in this dataset is 418 meV per atom. The value obtained for the density of states at the Fermi level is 9.33 states/eV per cell. The calculation puts the magnetic moment at 0.0119 μB per atom.



# 9
A plane-wave DFT calculation with PBE-GGA was carried out for CsMn after structural relaxation.

Lattice parameters (Å, degrees): 3.6722 3.6722 13.0843 90.00 90.00 120.00
Atoms (fractional coordinates):
1 Cs 0.3333 0.6667 0.8296
2 Cs 0.6667 0.3333 0.3296
3 Mn 0.3333 0.6667 0.0884
4 Mn 0.6667 0.3333 0.5884

Summary:
The energy above the most stable polymorph in this dataset is 100 meV per atom. The value obtained for the density of states at the Fermi level is 5.11 states/eV per cell. The calculation puts the magnetic moment at 2.0846 μB per atom.



# 10
A plane-wave DFT calculation with PBE-GGA was carried out for CsMn after structural relaxation.

Lattice parameters (Å, degrees): 14.5014 14.5014 3.3423 90.00 90.00 120.00
Atoms (fractional coordinates):
1 Cs 0.5776 0.7576 0.2500
2 Cs 0.8200 0.5776 0.7500
3 Cs 0.2424 0.8200 0.2500
4 Cs 0.4224 0.2424 0.7500
5 Cs 0.1800 0.4224 0.2500
6 Cs 0.7576 0.1800 0.7500
7 Mn 0.5197 0.9720 0.2500
8 Mn 0.5477 0.5197 0.7500
9 Mn 0.0280 0.5477 0.2500
10 Mn 0.4803 0.0280 0.7500
11 Mn 0.4523 0.4803 0.2500
12 Mn 0.9720 0.4523 0.7500

Summary:
The energy above the most stable polymorph in this dataset is 34 meV per atom. The value obtained for the density of states at the Fermi level is 17.46 states/eV per cell. The calculation puts the magnetic moment at 0.0039 μB per atom.



# 11
A plane-wave DFT calculation with PBE-GGA was carried out for CsMn after structural relaxation.

Lattice parameters (Å, degrees): 14.7886 14.7886 3.3762 90.00 90.00 90.00
Atoms (fractional coordinates):
1 Cs 0.5210 0.2516 0.0000
2 Cs 0.4790 0.7484 0.0000
3 Cs 0.7484 0.5210 0.0000
4 Cs 0.2516 0.4790 0.0000
5 Cs 0.0210 0.7516 0.5000
6 Cs 0.9790 0.2484 0.5000
7 Cs 0.2484 0.0210 0.5000
8 Cs 0.7516 0.9790 0.5000
9 Mn 0.2442 0.7892 0.0000
10 Mn 0.7558 0.2108 0.0000
11 Mn 0.2108 0.2442 0.0000
12 Mn 0.7892 0.7558 0.0000
13 Mn 0.7442 0.2892 0.5000
14 Mn 0.2558 0.7108 0.5000
15 Mn 0.7108 0.7442 0.5000
16 Mn 0.2892 0.2558 0.5000

Summary:
The energy above the most stable polymorph in this dataset is 0 meV per atom. The value obtained for the density of states at the Fermi level is 25.01 states/eV per cell. The calculation puts the magnetic moment at 0.0047 μB per atom.



# 12
A plane-wave DFT calculation with PBE-GGA was carried out for CsMnMo3 after structural relaxation.

Lattice parameters (Å, degrees): 4.6959 4.6959 4.6959 90.00 90.00 90.00
Atoms (fractional coordinates):
1 Cs 0.5000 0.5000 0.5000
2 Mo 0.0000 0.5000 0.0000
3 Mo 0.0000 0.0000 0.5000
4 Mo 0.5000 0.0000 0.0000
5 Mn 0.0000 0.0000 0.0000

Summary:
The energy above the most stable polymorph in this dataset is 0 meV per atom. The value obtained for the density of states at the Fermi level is 6.24 states/eV per cell. The calculation puts the magnetic moment at 0.0000 μB per atom.



So what do the calculations give for E_form? Going down the list: 0.296 0.230 0.364 1.089 0.203 0.176 1.403 1.821 1.404 1.338 1.304 1.806 eV per atom.